# 1
Below is a relaxed YTlFeCu crystal, with properties calculated at the PBE-GGA level.

Cell and atoms, written as CIF:
```
data_YTlFeCu
_space_group_name_H-M_alt 'F -4 3 m'
_space_group_IT_number 216
_space_group_name_Hall 'F -4 2 3'
_cell_length_a 6.722
_cell_length_b 6.722
_cell_length_c 6.722
_cell_angle_alpha 90.00
_cell_angle_beta 90.00
_cell_angle_gamma 90.00
loop_
_atom_site_label
_atom_site_type_symbol
_atom_site_fract_x
_atom_site_fract_y
_atom_site_fract_z
Y1 Y 0.000 0.000 0.000
Tl1 Tl 0.000 0.000 0.500
Fe1 Fe 0.250 0.250 0.250
Cu1 Cu 0.250 0.250 0.750
```

Summary:
energy above the most stable polymorph in this dataset	0.000	eV per atom
VASP energy	-81.103	eV per cell
calculated volume	19.0	Å³/atom

=====

# 2
Below is a relaxed TlZnFeCu crystal, with properties calculated at the PBE-GGA level.

Cell and atoms, written as CIF:
```
data_TlZnFeCu
_space_group_name_H-M_alt 'F -4 3 m'
_space_group_IT_number 216
_space_group_name_Hall 'F -4 2 3'
_cell_length_a 6.320
_cell_length_b 6.320
_cell_length_c 6.320
_cell_angle_alpha 90.00
_cell_angle_beta 90.00
_cell_angle_gamma 90.00
loop_
_atom_site_label
_atom_site_type_symbol
_atom_site_fract_x
_atom_site_fract_y
_atom_site_fract_z
Tl1 Tl 0.000 0.000 0.000
Zn1 Zn 0.250 0.250 0.750
Fe1 Fe 0.000 0.000 0.500
Cu1 Cu 0.250 0.250 0.250
```

Summary:
energy above the most stable polymorph in this dataset	0.069	eV per atom
VASP energy	-55.447	eV per cell
calculated volume	15.8	Å³/atom

=====

# 3
Below is a relaxed TlZnFeCu crystal, with properties calculated at the PBE-GGA level.

Cell and atoms, written as CIF:
```
data_TlZnFeCu
_space_group_name_H-M_alt 'F -4 3 m'
_space_group_IT_number 216
_space_group_name_Hall 'F -4 2 3'
_cell_length_a 6.285
_cell_length_b 6.285
_cell_length_c 6.285
_cell_angle_alpha 90.00
_cell_angle_beta 90.00
_cell_angle_gamma 90.00
loop_
_atom_site_label
_atom_site_type_symbol
_atom_site_fract_x
_atom_site_fract_y
_atom_site_fract_z
Tl1 Tl 0.000 0.000 0.000
Zn1 Zn 0.000 0.000 0.500
Fe1 Fe 0.250 0.250 0.750
Cu1 Cu 0.250 0.250 0.250
```

Summary:
energy above the most stable polymorph in this dataset	0.000	eV per atom
VASP energy	-56.559	eV per cell
calculated volume	15.5	Å³/atom

=====

# 4
Below is a relaxed ZrTlFeCu crystal, with properties calculated at the PBE-GGA level.

Cell and atoms, written as CIF:
```
data_ZrTlFeCu
_space_group_name_H-M_alt 'F -4 3 m'
_space_group_IT_number 216
_space_group_name_Hall 'F -4 2 3'
_cell_length_a 6.467
_cell_length_b 6.467
_cell_length_c 6.467
_cell_angle_alpha 90.00
_cell_angle_beta 90.00
_cell_angle_gamma 90.00
loop_
_atom_site_label
_atom_site_type_symbol
_atom_site_fract_x
_atom_site_fract_y
_atom_site_fract_z
Zr1 Zr 0.000 0.000 0.000
Tl1 Tl 0.000 0.000 0.500
Fe1 Fe 0.250 0.250 0.250
Cu1 Cu 0.250 0.250 0.750
```

Summary:
energy above the most stable polymorph in this dataset	0.000	eV per atom
VASP energy	-89.780	eV per cell
calculated volume	16.9	Å³/atom

=====

# 5
Below is a relaxed ZrTlFeCu crystal, with properties calculated at the PBE-GGA level.

Cell and atoms, written as CIF:
```
data_ZrTlFeCu
_space_group_name_H-M_alt 'F -4 3 m'
_space_group_IT_number 216
_space_group_name_Hall 'F -4 2 3'
_cell_length_a 6.559
_cell_length_b 6.559
_cell_length_c 6.559
_cell_angle_alpha 90.00
_cell_angle_beta 90.00
_cell_angle_gamma 90.00
loop_
_atom_site_label
_atom_site_type_symbol
_atom_site_fract_x
_atom_site_fract_y
_atom_site_fract_z
Zr1 Zr 0.000 0.000 0.000
Tl1 Tl 0.250 0.250 0.250
Fe1 Fe 0.000 0.000 0.500
Cu1 Cu 0.250 0.250 0.750
```

Summary:
energy above the most stable polymorph in this dataset	0.123	eV per atom
VASP energy	-87.804	eV per cell
calculated volume	17.6	Å³/atom

=====

# 6
Below is a relaxed ZrTlFeCu crystal, with properties calculated at the PBE-GGA level.

Cell and atoms, written as CIF:
```
data_ZrTlFeCu
_space_group_name_H-M_alt 'F -4 3 m'
_space_group_IT_number 216
_space_group_name_Hall 'F -4 2 3'
_cell_length_a 6.565
_cell_length_b 6.565
_cell_length_c 6.565
_cell_angle_alpha 90.00
_cell_angle_beta 90.00
_cell_angle_gamma 90.00
loop_
_atom_site_label
_atom_site_type_symbol
_atom_site_fract_x
_atom_site_fract_y
_atom_site_fract_z
Zr1 Zr 0.000 0.000 0.000
Tl1 Tl 0.250 0.250 0.250
Fe1 Fe 0.250 0.250 0.750
Cu1 Cu 0.000 0.000 0.500
```

Summary:
energy above the most stable polymorph in this dataset	0.168	eV per atom
VASP energy	-87.088	eV per cell
calculated volume	17.7	Å³/atom